# YFeCl2

An optimized crystal structure of YFeCl2 (PBE, Alexandria via LeMat-Bulk).

Properties
The energy above the most stable polymorph in this dataset is 0.4018 eV per atom. As for the formation energy (no corrections): -0.4203 eV per atom. Its symmetry is No. 65. The total magnetic moment comes out at 2.830 μB per cell.

```
YFeCl2
1.0
3.5622 0.0544 0.0000
-2.1047 2.8744 0.0000
0.0000 0.0000 8.3173
Y Fe Cl
1 1 2
Direct
0.5000 0.5000 0.7500
0.5000 0.5000 0.2500
0.0000 0.0000 0.0301
0.0000 0.0000 0.4699
```

=====

# Ce6Hg3Pt

An optimized crystal structure of Ce6Hg3Pt (PBE, Alexandria via LeMat-Bulk).

Properties
Its symmetry is No. 14. The total magnetic moment comes out at 7.411 μB per cell. As for the formation energy: -31.0 kJ/mol of atoms.

```
Ce6Hg3Pt
1.0
-1.5380 4.1610 -3.6070
5.0637 -3.3970 -6.0780
-8.2651 -5.7246 -3.6863
Ce Hg Pt
12 6 2
Direct
0.5183 0.1408 0.9429
0.4999 0.1528 0.5579
0.6947 0.4385 0.2617
0.3053 0.5615 0.7383
0.5001 0.8472 0.4421
0.4817 0.8592 0.0571
0.0183 0.3592 0.4429
0.9999 0.3472 0.0579
0.1947 0.0615 0.7617
0.8053 0.9385 0.2383
0.0001 0.6528 0.9421
0.9817 0.6408 0.5571
0.6768 0.8604 0.7498
0.5000 0.5000 0.0000
0.3232 0.1396 0.2502
0.1768 0.6396 0.2498
0.0000 0.0000 0.5000
0.8232 0.3604 0.7502
0.5000 0.5000 0.5000
0.0000 0.0000 0.0000
```

=====

# Sn2PAu2

An optimized crystal structure of Sn2PAu2 (PBE, Alexandria via LeMat-Bulk).

Properties
The energy above the most stable polymorph in this dataset is 0.0000 eV per atom. Its symmetry is No. 127. The total magnetic moment comes out at 0.000 μB per cell. As for the formation energy: 12.9 kJ/mol of atoms.

```
Sn2PAu2
1.0
7.2262 0.0000 0.0000
0.0000 7.2262 0.0000
0.0000 0.0000 4.2066
P Au Sn
2 4 4
Direct
0.0000 0.0000 0.0000
0.5000 0.5000 0.0000
0.3587 0.8587 0.0000
0.8587 0.6413 0.0000
0.6413 0.1413 0.0000
0.1413 0.3587 0.0000
0.1685 0.6685 0.5000
0.6685 0.8315 0.5000
0.8315 0.3315 0.5000
0.3315 0.1685 0.5000
```

=====

# Pr2HoEr

An optimized crystal structure of Pr2HoEr (PBE, Alexandria via LeMat-Bulk).

Properties
The energy above the most stable polymorph in this dataset is 0.0864 eV per atom. Its symmetry is No. 225. The total magnetic moment comes out at 0.001 μB per cell. As for the formation energy: 9.7 kJ/mol of atoms.

```
Pr2HoEr
1.0
-3.8199 -4.0739 1.3820
-2.0325 -3.5336 -4.0597
1.5598 -5.5375 -0.0375
Pr Ho Er
2 1 1
Direct
0.2500 0.2500 0.2500
0.7500 0.7500 0.7500
0.0000 0.0000 0.0000
0.5000 0.5000 0.5000
```

=====

# Rb2CaOsF6

An optimized crystal structure of Rb2CaOsF6 (PBE, Alexandria via LeMat-Bulk).

Properties
As for the formation energy (no corrections): -2.3998 eV per atom. Its symmetry is No. 225. The total magnetic moment comes out at 0.000 μB per cell.

```
Rb2CaOsF6
1.0
-3.5911 4.0965 -2.9637
-1.1074 -4.1842 -4.4416
-5.8378 -1.4882 -1.4722
Ca Os Rb F
1 1 2 6
Direct
0.5000 0.5000 0.0000
0.0000 0.0000 0.0000
0.7500 0.2500 0.5000
0.2500 0.7500 0.5000
0.2447 0.2447 0.5106
0.7553 0.7553 0.4894
0.2447 0.2447 0.0000
0.7553 0.7553 0.0000
0.7553 0.2447 0.0000
0.2447 0.7553 0.0000
```

=====

# Hf2VZn2

An optimized crystal structure of Hf2VZn2 (PBE, Alexandria via LeMat-Bulk).

Properties
The energy above the most stable polymorph in this dataset is 0.0000 eV per atom. Its symmetry is No. 127. The total magnetic moment comes out at 5.256 μB per cell. As for the formation energy: 1.5 kJ/mol of atoms.

```
Hf2VZn2
1.0
7.0325 0.0000 0.0000
0.0000 7.0325 0.0000
0.0000 0.0000 3.6342
Zn Hf V
4 4 2
Direct
0.3753 0.8753 0.0000
0.8753 0.6247 0.0000
0.6247 0.1247 0.0000
0.1247 0.3753 0.0000
0.1782 0.6782 0.5000
0.6782 0.8218 0.5000
0.8218 0.3218 0.5000
0.3218 0.1782 0.5000
0.0000 0.0000 0.0000
0.5000 0.5000 0.0000
```

=====

# Mn2HgAu2

An optimized crystal structure of Mn2HgAu2 (PBE, Alexandria via LeMat-Bulk).

Properties
Its symmetry is No. 139. The total magnetic moment comes out at 8.728 μB per cell. As for the formation energy: 28.0 kJ/mol of atoms.

```
Mn2HgAu2
1.0
-2.8503 0.5430 2.5393
-2.0748 -2.7435 -1.7423
0.2436 -5.7005 4.4198
Mn Au Hg
2 2 1
Direct
0.3995 0.3995 0.2010
0.6005 0.6005 0.7990
0.7500 0.2500 0.5000
0.2500 0.7500 0.5000
0.0000 0.0000 0.0000
```

=====

# NbCrSe2S

An optimized crystal structure of NbCrSe2S (PBE, Alexandria via LeMat-Bulk).

Properties
As for the formation energy (no corrections): 0.5688 eV per atom. Its symmetry is No. 123. The total magnetic moment comes out at 0.000 μB per cell.

```
NbCrSe2S
1.0
4.4157 0.0000 0.0000
0.0000 5.1595 0.0000
0.0000 0.0000 4.4157
Cr Nb S Se
1 1 1 2
Direct
0.0000 0.0000 0.0000
0.0000 0.5000 0.0000
0.5000 0.5000 0.5000
0.0000 0.0000 0.5000
0.5000 0.0000 0.0000
```

=====

# AlHg3Pd6

An optimized crystal structure of AlHg3Pd6 (PBE, Alexandria via LeMat-Bulk).

Properties
Its symmetry is No. 11. The total magnetic moment comes out at 0.000 μB per cell. As for the formation energy: -33.6 kJ/mol of atoms.

```
AlHg3Pd6
1.0
4.2533 0.0000 0.0000
0.0000 8.5383 -0.6158
0.0000 -0.3947 9.3009
Al Hg Pd
2 6 12
Direct
0.2500 0.9408 0.6188
0.7500 0.0592 0.3812
0.2500 0.5491 0.4000
0.7500 0.4509 0.6000
0.2500 0.3453 0.7920
0.7500 0.6547 0.2080
0.2500 0.7600 0.9983
0.7500 0.2400 0.0017
0.2500 0.4509 0.0977
0.7500 0.5491 0.9023
0.2500 0.1502 0.1946
0.7500 0.8498 0.8054
0.2500 0.6620 0.6953
0.7500 0.3380 0.3047
0.2500 0.2125 0.4906
0.7500 0.7875 0.5094
0.2500 0.8801 0.3307
0.7500 0.1199 0.6693
0.2500 0.0495 0.8865
0.7500 0.9505 0.1135
```

=====

# NaCa2Sn2Hg2

An optimized crystal structure of NaCa2Sn2Hg2 (PBE, Alexandria via LeMat-Bulk).

Properties
Its symmetry is No. 166. The total magnetic moment comes out at 0.000 μB per cell. As for the formation energy: -32.2 kJ/mol of atoms.

```
NaCa2Sn2Hg2
1.0
-1.4681 0.6279 -4.8268
-4.0499 -2.5109 -1.7723
-7.3490 6.4285 0.3939
Na Ca Sn Hg
1 2 2 2
Direct
0.0000 0.0000 0.0000
0.1319 0.1319 0.6043
0.8681 0.8681 0.3957
0.7420 0.7420 0.7740
0.2580 0.2580 0.2260
0.5669 0.5669 0.2994
0.4331 0.4331 0.7006
```

=====

# Pu3UN4

An optimized crystal structure of Pu3UN4 (PBE, Alexandria via LeMat-Bulk).

Properties
The energy above the most stable polymorph in this dataset is 0.0138 eV per atom. As for the formation energy (no corrections): -1.2557 eV per atom. Its symmetry is No. 65. The total magnetic moment comes out at 4.325 μB per cell.

```
Pu3UN4
1.0
3.4627 0.0000 0.0000
0.0000 6.0221 -0.0920
0.0000 -1.9859 5.6860
Pu U N
3 1 4
Direct
0.0000 0.0000 0.5000
0.5000 0.5000 0.5000
0.0000 0.5000 0.0000
0.5000 0.0000 0.0000
0.0000 0.2309 0.2309
0.5000 0.7605 0.2395
0.0000 0.7691 0.7691
0.5000 0.2395 0.7605
```

=====

# Cr3GeN

An optimized crystal structure of Cr3GeN (PBE, Alexandria via LeMat-Bulk).

Properties
The energy above the most stable polymorph in this dataset is 0.0000 eV per atom. As for the formation energy (no corrections): -0.2762 eV per atom. Its symmetry is No. 113. The total magnetic moment comes out at 1.234 μB per cell.

```
Cr3GeN
1.0
5.3238 0.0000 0.0000
0.0000 5.3238 0.0000
0.0000 0.0000 4.0231
Cr Ge N
6 2 2
Direct
0.2006 0.7006 0.9300
0.7994 0.2994 0.9300
0.5000 0.5000 0.5000
0.2994 0.2006 0.0700
0.7006 0.7994 0.0700
0.0000 0.0000 0.5000
0.0000 0.5000 0.4436
0.5000 0.0000 0.5564
0.0000 0.0000 0.0000
0.5000 0.5000 0.0000
```